Material: Nb2HgH
Method: DFT, PBE
State: relaxed

```
4
Lattice="3.3097 0.0000 0.0000 1.6549 2.8663 0.0000 1.6549 0.9554 6.6782" Properties=species:S:1:pos:R:3 pbc="T T T"
H 0.0000 0.0000 0.0000
Nb 1.6549 0.9554 0.9624
Nb 4.9646 2.8663 5.7158
Hg 3.3097 1.9109 3.3391
```

Results
SG ... No. 166
VASP energy ... -23.31 eV/cell
Calculated density ... 10.2 g/cm³
Polymorph energy (0 for the lowest one) ... 0.000 eV/atom
V ... 15.8 A^3/atom

=====

Material: Nb2NiH
Method: DFT, PBE
State: relaxed

```
8
Lattice="-1.0709 -3.8693 -2.3775 4.4229 -0.3342 -1.4483 2.8884 -5.1437 2.4918" Properties=species:S:1:pos:R:3 pbc="T T T"
Ni 0.0000 0.0000 0.0000
Ni 1.7467 -5.5574 -0.8993
Nb 0.7264 -3.3099 -0.7760
Nb 3.2318 -2.4147 -0.8474
Nb 3.9219 -5.4718 0.2709
Nb 4.6007 -7.4982 -1.3154
H 1.6760 -2.1018 -1.9129
H 4.4936 -3.7899 -0.4347
```

Results
SG ... No. 122
VASP energy ... -54.50 eV/cell
Calculated density ... 6.8 g/cm³
Polymorph energy (0 for the lowest one) ... 0.245 eV/atom
V ... 14.9 A^3/atom

=====

Material: PrMg5Ni2
Method: DFT, PBE
State: relaxed

```
8
Lattice="-3.7598 -1.5637 0.6457 0.0376 -6.3863 -2.0840 0.2456 -3.7171 5.5903" Properties=species:S:1:pos:R:3 pbc="T T T"
Pr 0.0000 0.0000 0.0000
Mg 0.1416 -5.0517 1.7532
Mg -2.4343 -4.9380 0.1924
Mg -1.0423 -6.7291 3.9597
Mg -1.1192 -7.7158 1.1229
Mg -2.3574 -3.9513 3.0292
Ni -2.5311 -8.9116 3.1681
Ni -0.9455 -2.7554 0.9840
```

Results
SG ... No. 71
VASP energy ... -25.49 eV/cell
Calculated density ... 3.8 g/cm³
Formation enthalpy at 0 K ... -0.15 eV per atom
V ... 20.7 A^3/atom